A relaxed structure of BaMo3F, computed with PBE with a Hubbard U.

Lattice parameters (Å, degrees): 5.167 5.167 5.167 90.00 90.00 90.00
Last column: magnetic moment on the atom in μB.
Fractional coordinates of all 5 atoms:
Mo 0.000 0.500 0.000  3.93
Mo 0.000 0.000 0.500  4.00
Mo 0.500 0.000 0.000  3.61
Ba 0.500 0.500 0.500  -0.05
F 0.000 0.000 0.000  0.01

Summary:
Final energy in eV/cell: -20.73
SG: No. 221
Crystal system: cubic
N(E_F) in states/eV per atom: 0.437

---

A relaxed structure of Ba2MoF, computed with PBE with a Hubbard U.

Lattice parameters (Å, degrees): 5.920 5.920 5.920 60.00 60.00 60.00
Last column: magnetic moment on the atom in μB.
Fractional coordinates of all 4 atoms:
Mo 0.500 0.500 0.500  3.96
Ba 0.250 0.250 0.250  0.02
Ba 0.750 0.750 0.750  0.02
F 0.000 0.000 0.000  0.03

Summary:
Polymorph energy (0 for the lowest one) in eV per atom: 0.473
Final energy in eV/cell: -13.95
SG: No. 225
Crystal system: cubic
N(E_F) in states/eV per atom: 0.947

---

A relaxed structure of BaMo2F11, computed with PBE with a Hubbard U.

Lattice parameters (Å, degrees): 7.756 8.876 8.876 69.94 64.10 64.10
Last column: magnetic moment on the atom in μB.
Fractional coordinates of all 28 atoms:
Ba 0.750 0.750 0.750  0.00
Ba 0.250 0.250 0.250  0.00
Mo 0.634 0.676 0.324  1.47
Mo 0.366 0.324 0.676  1.47
Mo 0.866 0.176 0.824  1.47
Mo 0.134 0.824 0.176  1.47
F 0.652 0.684 0.536  0.00
F 0.348 0.316 0.464  0.00
F 0.129 0.536 0.684  0.00
F 0.848 0.964 0.816  0.00
F 0.871 0.464 0.316  0.00
F 0.152 0.036 0.184  0.00
F 0.371 0.816 0.964  0.00
F 0.629 0.184 0.036  0.00
F 0.500 0.500 0.500  -0.02
F 0.000 0.000 0.000  -0.02
F 0.861 0.787 0.213  -0.01
F 0.139 0.213 0.787  -0.01
F 0.639 0.287 0.713  -0.01
F 0.361 0.713 0.287  -0.01
F 0.468 0.916 0.339  0.01
F 0.532 0.084 0.661  0.01
F 0.277 0.339 0.916  0.01
F 0.032 0.161 0.584  0.01
F 0.723 0.661 0.084  0.01
F 0.968 0.839 0.416  0.01
F 0.223 0.584 0.161  0.01
F 0.777 0.416 0.839  0.01

Summary:
Final energy in eV/cell: -149.03
SG: No. 72
Crystal system: orthorhombic
N(E_F) in states/eV per atom: 0.205

---

A relaxed structure of Ba2MoF, computed with PBE with a Hubbard U.

Lattice parameters (Å, degrees): 8.218 8.218 7.379 56.16 56.16 90.00
Last column: magnetic moment on the atom in μB.
Fractional coordinates of all 8 atoms:
Mo 0.000 0.000 0.000  4.01
Mo 0.750 0.250 0.500  4.01
Ba 0.527 0.125 0.250  0.01
Ba 0.223 0.625 0.250  0.01
Ba 0.375 0.473 0.750  0.01
Ba 0.875 0.777 0.750  0.01
F 0.500 0.500 0.000  0.00
F 0.250 0.750 0.500  0.00

Summary:
Polymorph energy (0 for the lowest one) in eV per atom: 0.000
Final energy in eV/cell: -31.69
SG: No. 122
Crystal system: tetragonal
N(E_F) in states/eV per atom: 0.418

---

A relaxed structure of BaMoF7, computed with PBE with a Hubbard U.

Lattice parameters (Å, degrees): 10.134 5.647 10.516 87.56 90.00 90.00
Last column: magnetic moment on the atom in μB.
Fractional coordinates of all 36 atoms:
Ba 0.330 0.308 0.511  0.00
Ba 0.830 0.692 0.989  0.00
Ba 0.670 0.692 0.489  0.00
Ba 0.170 0.308 0.011  0.00
Mo 0.601 0.168 0.186  0.95
Mo 0.399 0.832 0.814  0.95
Mo 0.899 0.168 0.686  0.95
Mo 0.101 0.832 0.314  0.95
F 0.471 0.112 0.877  -0.01
F 0.057 0.322 0.627  0.02
F 0.689 0.441 0.246  -0.01
F 0.311 0.559 0.754  -0.01
F 0.463 0.894 0.640  0.02
F 0.806 0.239 0.526  0.02
F 0.750 0.968 0.238  0.01
F 0.963 0.106 0.860  0.02
F 0.443 0.322 0.127  0.02
F 0.189 0.559 0.254  -0.01
F 0.029 0.112 0.377  -0.01
F 0.529 0.888 0.123  -0.01
F 0.250 0.032 0.262  0.01
F 0.958 0.392 0.115  0.05
F 0.537 0.106 0.360  0.02
F 0.037 0.894 0.140  0.02
F 0.250 0.032 0.762  0.01
F 0.971 0.888 0.623  -0.01
F 0.458 0.608 0.385  0.05
F 0.943 0.678 0.373  0.02
F 0.042 0.608 0.885  0.05
F 0.750 0.968 0.738  0.01
F 0.542 0.392 0.615  0.05
F 0.306 0.761 0.974  0.02
F 0.194 0.761 0.474  0.02
F 0.694 0.239 0.026  0.02
F 0.557 0.678 0.873  0.02
F 0.811 0.441 0.746  -0.01

Summary:
Final energy in eV/cell: -191.97
SG: No. 14
Crystal system: monoclinic
N(E_F) in states/eV per atom: 0.000

---

A relaxed structure of Ba2NaMoF8, computed with PBE with a Hubbard U.

Lattice parameters (Å, degrees): 4.584 5.808 8.370 90.03 89.99 96.52
Last column: magnetic moment on the atom in μB.
Fractional coordinates of all 12 atoms:
Ba 0.500 0.500 0.751  0.00
Ba 0.500 0.500 0.249  0.00
Na 0.000 0.000 0.500  0.00
Mo 0.000 0.000 0.000  2.79
F 0.064 0.773 0.195  0.01
F 0.597 0.786 0.000  0.02
F 0.935 0.228 0.195  0.01
F 0.936 0.227 0.805  0.01
F 0.403 0.214 0.000  0.02
F 0.065 0.772 0.805  0.01
F 0.614 0.748 0.500  0.00
F 0.386 0.252 0.500  0.00

Summary:
Final energy in eV/cell: -65.94
SG: No. 10
Crystal system: monoclinic
N(E_F) in states/eV per atom: 0.000

---

- Look up the final energy of the sixth one.
  -65.94 eV/cell

---

- Which value of N(E_F) does entry 1 give?
  0.437 states/eV per atom

---

- Which of these has the highest N(E_F)?
  number 2

---

- N(E_F) of number 3 (BaMo2F11)?
  0.205 states/eV per atom